# 1
## YCdP2 (PBE)

Data for YCdP2 after structural relaxation.

Computed properties:
VASP energy	-20.44	eV/cell
volume	20.939	Å³ per atom
density of states at the Fermi level	1.12	states/eV/cell

Lattice parameters (Å, degrees): 5.6879 5.6879 4.0893 80.04 80.04 40.10
With the nearest neighbours (Å) after each atom.
Sites, in units of the cell vectors:
P 0.9990 0.9990 0.1036  1 Cd 2.60, 4 Y 2.81-2.85, 1 P 2.84
P 0.7790 0.7790 0.6146  4 Cd 2.74-2.99, 1 P 2.84, 2 Y 2.95
Cd 0.2353 0.2353 0.1798  3 P 2.60-2.74
Y 0.4868 0.4868 0.6020  7 P 2.81-3.13

***

# 2
## Sm7Y4Sc (PBE)

Data for Sm7Y4Sc after structural relaxation.

Computed properties:
VASP energy	-62.08	eV/cell
volume	33.520	Å³ per atom
density of states at the Fermi level	19.05	states/eV/cell

Lattice parameters (Å, degrees): 5.9407 11.7173 6.6720 84.21 63.56 75.32
With the nearest neighbours (Å) after each atom.
Sites, in units of the cell vectors:
Sm 0.2070 0.0756 0.5104  1 Sc 3.06, 2 Sm 3.16-3.22, 4 Y 3.36-3.41
Sm 0.0707 0.6958 0.1628  2 Sm 3.22-3.25, 1 Sc 3.60
Sm 0.3684 0.4965 0.7668  2 Sm 3.19-3.25, 5 Y 3.36-3.57
Y 0.3555 0.7767 0.5124  7 Sm 3.39-3.74, 2 Y 3.57
Sm 0.6316 0.5035 0.2332  2 Sm 3.19-3.25, 5 Y 3.36-3.57
Sm 0.9293 0.3042 0.8372  2 Sm 3.22-3.25, 1 Sc 3.60
Sm 0.7930 0.9244 0.4896  1 Sc 3.06, 2 Sm 3.16-3.22, 4 Y 3.36-3.41
Sc 0.0000 0.0000 0.0000  4 Sm 2.97-3.06
Y 0.7778 0.6707 0.7737  5 Sm 3.36-3.66, 2 Y 3.57
Sm 0.5000 0.0000 0.0000  2 Sc 2.97, 2 Sm 3.16
Y 0.6445 0.2233 0.4876  7 Sm 3.39-3.74, 2 Y 3.57
Y 0.2222 0.3293 0.2263  5 Sm 3.36-3.66, 2 Y 3.57

***

# 3
## Mn2Ga2CuPt5 (PBE)

Data for Mn2Ga2CuPt5 after structural relaxation.

Computed properties:
VASP energy	-123.67	eV/cell
volume	15.798	Å³ per atom
density of states at the Fermi level	6.87	states/eV/cell

Lattice parameters (Å, degrees): 3.7113 9.2267 9.2267 90.00 90.00 90.00
With the nearest neighbours (Å) after each atom.
Sites, in units of the cell vectors:
Pt 0.5000 0.1939 0.0789  2 Ga 2.51, 2 Cu 2.68, 2 Pt 2.73
Pt 0.5000 0.3061 0.5789  2 Ga 2.51, 2 Cu 2.68, 2 Pt 2.73
Mn 0.0000 0.3295 0.8295  3 Ga 2.60-2.80, 2 Pt 2.90
Ga 0.0000 0.3696 0.1304  6 Pt 2.51-2.52, 3 Mn 2.60-2.80
Pt 0.5000 0.4211 0.3061  2 Ga 2.51, 2 Cu 2.68, 2 Pt 2.73
Pt 0.5000 0.0789 0.8061  2 Ga 2.51, 2 Cu 2.68, 2 Pt 2.73
Mn 0.0000 0.6705 0.1705  3 Ga 2.60-2.80, 2 Pt 2.90
Ga 0.0000 0.8696 0.3696  6 Pt 2.51-2.52, 3 Mn 2.60-2.80
Mn 0.0000 0.1705 0.3295  3 Ga 2.60-2.80, 2 Pt 2.90
Mn 0.0000 0.8295 0.6705  3 Ga 2.60-2.80, 2 Pt 2.90
Cu 0.0000 0.5000 0.5000  8 Pt 2.68
Pt 0.5000 0.5789 0.6939  2 Ga 2.51, 2 Cu 2.68, 2 Pt 2.73
Pt 0.5000 0.5000 0.0000  4 Ga 2.52
Ga 0.0000 0.6304 0.8696  6 Pt 2.51-2.52, 3 Mn 2.60-2.80
Pt 0.5000 0.0000 0.5000  4 Ga 2.52
Pt 0.5000 0.8061 0.9211  2 Ga 2.51, 2 Cu 2.68, 2 Pt 2.73
Ga 0.0000 0.1304 0.6304  6 Pt 2.51-2.52, 3 Mn 2.60-2.80
Pt 0.5000 0.9211 0.1939  2 Ga 2.51, 2 Cu 2.68, 2 Pt 2.73
Cu 0.0000 0.0000 0.0000  8 Pt 2.68
Pt 0.5000 0.6939 0.4211  2 Ga 2.51, 2 Cu 2.68, 2 Pt 2.73

***

# 4
## VGeIr2Se (PBE)

Data for VGeIr2Se after structural relaxation.

Computed properties:
formation energy without anion corrections	1.449	eV/atom
volume	20.510	Å³ per atom
density of states at the Fermi level	8.99	states/eV/cell

Lattice parameters (Å, degrees): 4.5782 4.8927 4.5782 90.00 90.00 90.00
With the nearest neighbours (Å) after each atom.
Sites, in units of the cell vectors:
V 0.5000 0.5000 0.5000  4 Ge 3.24, 8 Ir 3.35
Ir 0.0000 0.0000 0.5000  2 Se 2.29
Ge 0.0000 0.5000 0.0000  2 Se 2.45
Se 0.0000 0.0000 0.0000  4 Ir 2.29, 2 Ge 2.45
Ir 0.5000 0.0000 0.0000  2 Se 2.29

***

# 5
## HfTiCo3 (PBE)

Data for HfTiCo3 after structural relaxation.

Computed properties:
offset from the most stable computed form	0	meV/atom
volume	14.263	Å³ per atom
density of states at the Fermi level	11.51	states/eV/cell

Lattice parameters (Å, degrees): 4.8472 4.3950 7.1204 90.00 109.90 90.00
With the nearest neighbours (Å) after each atom.
Sites, in units of the cell vectors:
Co 0.8695 0.7500 0.2471  4 Co 2.34-2.46, 1 Hf 2.54, 2 Ti 2.61
Co 0.6224 0.2500 0.7529  4 Co 2.34-2.46, 1 Hf 2.54, 2 Ti 2.61
Hf 0.7911 0.7500 0.5823  6 Co 2.54-2.77
Co 0.1305 0.2500 0.7529  4 Co 2.34-2.46, 1 Hf 2.54, 2 Ti 2.61
Co 0.0000 0.5000 0.0000  6 Co 2.20-2.34
Co 0.3776 0.7500 0.2471  4 Co 2.34-2.46, 1 Hf 2.54, 2 Ti 2.61
Hf 0.2089 0.2500 0.4177  6 Co 2.54-2.77
Co 0.0000 0.0000 0.0000  6 Co 2.20-2.34
Ti 0.4328 0.7500 0.8655  10 Co 2.61-2.82, 2 Ti 2.84
Ti 0.5672 0.2500 0.1345  10 Co 2.61-2.82, 2 Ti 2.84

***

# 6
## CaNd4Tm2 (PBE)

Data for CaNd4Tm2 after structural relaxation.

Computed properties:
VASP energy	-29.82	eV/cell
volume	34.315	Å³ per atom
density of states at the Fermi level	9.07	states/eV/cell

Lattice parameters (Å, degrees): 3.6331 3.6331 21.1176 85.07 85.07 60.00
With the nearest neighbours (Å) after each atom.
Sites, in units of the cell vectors:
Nd 0.2818 0.2818 0.1546  3 Tm 3.52, 6 Nd 3.63, 3 Ca 3.87
Ca 0.0000 0.0000 0.0000  6 Ca 3.63, 6 Nd 3.87
Nd 0.7182 0.7182 0.8454  3 Tm 3.52, 6 Nd 3.63, 3 Ca 3.87
Tm 0.4297 0.4297 0.7109  6 Nd 3.52-3.59, 6 Tm 3.63
Nd 0.1427 0.1427 0.5720  3 Tm 3.59, 9 Nd 3.63-3.68
Nd 0.8573 0.8573 0.4280  3 Tm 3.59, 9 Nd 3.63-3.68
Tm 0.5703 0.5703 0.2891  6 Nd 3.52-3.59, 6 Tm 3.63

***

# 7
## CsHgS2 (PBE)

Data for CsHgS2 after structural relaxation.

Computed properties:
formation energy without anion corrections	-0.308	eV/atom
volume	50.951	Å³ per atom
density of states at the Fermi level	6.45	states/eV/cell

Lattice parameters (Å, degrees): 8.5015 8.5015 8.5015 37.46 37.46 37.46
With the nearest neighbours (Å) after each atom.
Sites, in units of the cell vectors:
S 0.0970 0.0970 0.0970  1 Hg 2.30
S 0.9030 0.9030 0.9030  1 Hg 2.30
Cs 0.5000 0.5000 0.5000  6 S 3.56
Hg 0.0000 0.0000 0.0000  2 S 2.30

***

# 8
## InSnSb (PBE)

Data for InSnSb after structural relaxation.

Computed properties:
formation energy without anion corrections	0.017	eV/atom
offset from the most stable computed form	20	meV/atom
volume	30.991	Å³ per atom
density of states at the Fermi level	1.49	states/eV/cell

Lattice parameters (Å, degrees): 4.3505 4.3505 11.3444 90.00 90.00 120.00
With the nearest neighbours (Å) after each atom.
Sites, in units of the cell vectors:
Sn 0.0000 0.0000 0.5384  3 Sb 3.00, 3 In 3.27
In 0.3333 0.6667 0.3541  3 Sb 3.18, 3 Sn 3.27
Sn 0.0000 0.0000 0.0384  3 Sb 3.00, 3 In 3.27
In 0.6667 0.3333 0.8541  3 Sb 3.18, 3 Sn 3.27
Sb 0.6667 0.3333 0.1825  3 Sn 3.00, 3 In 3.18
Sb 0.3333 0.6667 0.6825  3 Sn 3.00, 3 In 3.18